Arrangement i

LiBePt3: optimized geometry, PBE-GGA.

```
data_LiBePt3
_cell_length_a 4.174
_cell_length_b 4.174
_cell_length_c 4.174
_cell_angle_alpha 90.00
_cell_angle_beta 90.00
_cell_angle_gamma 90.00
_space_group_name_H-M_alt 'P m -3 m'
_space_group_IT_number 221
_space_group_name_Hall '-P 4 2 3'
loop_
_atom_site_label
_atom_site_fract_x
_atom_site_fract_y
_atom_site_fract_z
Li1 0.000 0.000 0.000
Be1 0.500 0.500 0.500
Pt1 0.000 0.000 0.500
```

- Volume: 73 Å³/cell

***

Arrangement ii

LiBePt3: optimized geometry, PBE-GGA.

```
data_LiBePt3
_cell_length_a 4.231
_cell_length_b 4.231
_cell_length_c 4.231
_cell_angle_alpha 90.00
_cell_angle_beta 90.00
_cell_angle_gamma 90.00
_space_group_name_H-M_alt 'P m -3 m'
_space_group_IT_number 221
_space_group_name_Hall '-P 4 2 3'
loop_
_atom_site_label
_atom_site_fract_x
_atom_site_fract_y
_atom_site_fract_z
Li1 0.000 0.000 0.000
Be1 0.500 0.500 0.500
Pt1 0.000 0.500 0.500
```

- Volume: 76 Å³/cell

***

Stability order, top to bottom: arrangement ii, arrangement i